First-principles (GGA-PBE) data for a relaxed structure of Ca2CeHg4, as listed in Alexandria via LeMat-Bulk.

Cell: 5.7705 5.7705 9.0713 Å, 108.55 108.55 90.00°
Atoms (fractional coordinates):
Hg: 0.0000 0.5000 0.0000
Hg: 0.8045 0.8045 0.6091
Hg: 0.1955 0.1955 0.3909
Hg: 0.5000 0.0000 0.0000
Ca: 0.6065 0.6065 0.2131
Ca: 0.3935 0.3935 0.7869
Ce: 0.0000 0.0000 0.0000

Density = 6.29 Mg/m³
Excess energy over the best structure of this formula in the dataset = 320.3 meV per atom

=====

First-principles (GGA-PBE) data for a relaxed structure of Ca2CeHg, as listed in Alexandria via LeMat-Bulk.

Cell: 3.6401 3.6401 9.7762 Å, 90.00 90.00 90.00°
Atoms (fractional coordinates):
Ca: 0.0000 0.0000 0.7961
Ca: 0.0000 0.0000 0.2039
Ce: 0.5000 0.5000 0.5000
Hg: 0.5000 0.5000 0.0000

Density = 5.39 Mg/m³
Excess energy over the best structure of this formula in the dataset = 0.0 meV per atom

=====

First-principles (GGA-PBE) data for a relaxed structure of Ca2CeHg4, as listed in Alexandria via LeMat-Bulk.

Cell: 5.4479 5.4479 7.9885 Å, 109.94 109.94 90.00°
Atoms (fractional coordinates):
Ca: 0.2655 0.2655 0.5310
Ca: 0.7345 0.7345 0.4690
Hg: 0.6183 0.1183 0.2367
Hg: 0.1183 0.6183 0.2367
Hg: 0.3817 0.8817 0.7633
Hg: 0.8817 0.3817 0.7633
Ce: 0.0000 0.0000 0.0000

Density = 8.18 Mg/m³
Excess energy over the best structure of this formula in the dataset = 0.0 meV per atom

=====

First-principles (GGA-PBE) data for a relaxed structure of CaCeHg2, as listed in Alexandria via LeMat-Bulk.

Cell: 3.9007 3.9007 9.5177 Å, 78.18 78.18 60.00°
Atoms (fractional coordinates):
Ca: 0.5000 0.5000 0.5000
Hg: 0.2491 0.2491 0.2527
Hg: 0.7509 0.7509 0.7473
Ce: 0.0000 0.0000 0.0000

Density = 7.92 Mg/m³
Excess energy over the best structure of this formula in the dataset = 185.2 meV per atom

=====

First-principles (GGA-PBE) data for a relaxed structure of CaCe2Hg4, as listed in Alexandria via LeMat-Bulk.

Cell: 5.6844 5.6844 8.8336 Å, 108.77 108.77 90.00°
Atoms (fractional coordinates):
Hg: 0.0000 0.5000 0.0000
Hg: 0.8042 0.8042 0.6084
Hg: 0.5000 0.0000 0.0000
Hg: 0.1958 0.1958 0.3916
Ce: 0.3985 0.3985 0.7971
Ce: 0.6015 0.6015 0.2029
Ca: 0.0000 0.0000 0.0000

Density = 7.33 Mg/m³
Excess energy over the best structure of this formula in the dataset = 293.2 meV per atom

=====

First-principles (GGA-PBE) data for a relaxed structure of CaCeHg2, as listed in Alexandria via LeMat-Bulk.

Cell: 3.6576 5.5070 5.5070 Å, 90.00 90.00 90.00°
Atoms (fractional coordinates):
Hg: 0.0000 0.5000 0.0000
Hg: 0.0000 0.0000 0.5000
Ca: 0.5000 0.5000 0.5000
Ce: 0.5000 0.0000 0.0000

Density = 8.70 Mg/m³
Excess energy over the best structure of this formula in the dataset = 14.7 meV per atom

=====

Number 1: energy relative to the elements -0.018 eV per atom. Number 2: energy relative to the elements -0.110 eV per atom. Number 3: energy relative to the elements -0.338 eV per atom. Number 4: energy relative to the elements -0.257 eV per atom. Number 5: energy relative to the elements 0.043 eV per atom. Number 6: energy relative to the elements -0.428 eV per atom.